Compound: CrInAs2
Source: Alexandria
Functional: GGA-PBE
Structure: optimized geometry

Cell lengths 4.0343, 3.7375, 5.7635 Å; angles 90.00, 108.00, 90.00 degrees
Space group P2/m (No. 10)
Asymmetric unit:
Cr 0.0000 0.0000 0.0000 x1
In 0.0000 0.0000 0.5000 x1
As 0.4373 0.5000 0.1979 x2

Properties
- E: -21.18 eV per cell
- Calculated density: 6.4 Mg/m³
- Total magnetization: 0.79 μB/atom

=====

Compound: MnCd2Pd
Source: Alexandria
Functional: GGA-PBE
Structure: optimized geometry

Cell lengths 4.1570, 4.1570, 4.1265 Å; angles 90.00, 90.00, 90.00 degrees
Space group P4/mmm (No. 123)
Asymmetric unit:
Mn 0.0000 0.0000 0.0000 x1
Cd 0.0000 0.5000 0.5000 x2
Pd 0.5000 0.5000 0.0000 x1

Properties
- E: -16.35 eV per cell
- Calculated density: 9.0 Mg/m³
- Total magnetization: 0.99 μB/atom

=====

Compound: CeHo2Rh4
Source: Alexandria
Functional: GGA-PBE
Structure: optimized geometry

Cell lengths 4.7263, 4.7263, 22.8441 Å; angles 90.00, 90.00, 120.00 degrees
Space group R-3m (No. 166, hexagonal axes)
Asymmetric unit:
Ce 0.0000 0.0000 0.0000 x3
Ho 0.0000 0.0000 0.2362 x6
Rh 0.0000 0.0000 0.1149 x6
Rh 0.0000 0.0000 0.3736 x6

Properties
- E: -145.48 eV per cell
- Calculated density: 9.9 Mg/m³
- Total magnetization: 0.00 μB/atom

=====

Compound: Al2AsSe
Source: Alexandria
Functional: GGA-PBE
Structure: optimized geometry

Cell lengths 3.8095, 3.8095, 5.3212 Å; angles 90.00, 90.00, 90.00 degrees
Space group P4/mmm (No. 123)
Asymmetric unit:
Al 0.0000 0.0000 0.0000 x1
Al 0.5000 0.5000 0.5000 x1
As 0.0000 0.0000 0.5000 x1
Se 0.5000 0.5000 0.0000 x1

Properties
- Formation energy without anion corrections: -395 meV/atom
- E: -17.20 eV per cell
- Calculated density: 4.5 Mg/m³
- Total magnetization: 0.00 μB/atom

=====

Compound: MgZr3Ir3
Source: Alexandria
Functional: GGA-PBE
Structure: optimized geometry

Cell lengths 8.0900, 8.0900, 8.0900 Å; angles 90.00, 90.00, 90.00 degrees
Space group P2_13 (No. 198)
Asymmetric unit:
Mg 0.0792 0.4208 0.5792 x4
Zr 0.0412 0.5412 0.9588 x4
Zr 0.1399 0.1399 0.1399 x4
Zr 0.2164 0.7836 0.2836 x4
Ir 0.0432 0.7376 0.6459 x12

Properties
- E: -232.01 eV per cell
- Calculated density: 11.0 Mg/m³
- Total magnetization: 0.00 μB/atom

=====

Compound: Mo2RuW
Source: Alexandria
Functional: GGA-PBE
Structure: optimized geometry

Cell lengths 3.2048, 4.4316, 8.7478 Å; angles 90.00, 90.00, 90.00 degrees
Space group Cmmm (No. 65)
Asymmetric unit:
Mo 0.0000 0.0000 0.2442 x4
Ru 0.0000 0.5000 0.0000 x2
W 0.0000 0.5000 0.5000 x2

Properties
- E: -86.84 eV per cell
- Calculated density: 12.7 Mg/m³
- Total magnetization: 0.10 μB/atom

=====

Compound: P4Os
Source: Alexandria
Functional: GGA-PBE
Structure: optimized geometry

Cell lengths 4.7184, 4.7073, 7.1520 Å; angles 90.00, 99.59, 90.00 degrees
Space group P2_1/c (No. 14)
Asymmetric unit:
P 0.1224 0.1521 0.4110 x4
P 0.2845 0.6904 0.7514 x4
Os 0.5000 0.0000 0.0000 x2

Properties
- E: -69.38 eV per cell
- Calculated density: 6.7 Mg/m³
- Total magnetization: 0.00 μB/atom

=====

Compound: NaTlPt2N
Source: Alexandria
Functional: GGA-PBE
Structure: optimized geometry

Cell lengths 4.1706, 4.1706, 4.9913 Å; angles 90.00, 90.00, 90.00 degrees
Space group P4/mmm (No. 123)
Asymmetric unit:
Na 0.0000 0.0000 0.0000 x1
Tl 0.5000 0.5000 0.0000 x1
Pt 0.0000 0.5000 0.5000 x2
N 0.0000 0.0000 0.5000 x1

Properties
- Formation energy without anion corrections: 239 meV/atom
- E: -22.90 eV per cell
- Calculated density: 12.1 Mg/m³
- Total magnetization: 0.00 μB/atom

=====

Question: Which of these has the lowest E?
Answer: MgZr3Ir3

=====

Question: Number 5 is which compound?
Answer: MgZr3Ir3

=====

Question: The highest calculated density belongs to which entry?
Answer: Mo2RuW

=====

Question: Look up the total magnetization of the sixth one.
Answer: 0.10 μB/atom